Entry 1:
# PmIn7

An optimized crystal structure of PmIn7 (PBE, Alexandria).

Summary:
ΔE_f = -0.187 eV/atom
Mass density = 7.4 g/cm³
Total magnetization = 0.00 μB/atom
Uncorrected energy = -3.18 eV/atom

Structure (POSCAR):
```
PmIn7
1.0
0.0000 4.7472 4.7472
4.7472 0.0000 4.7472
4.7472 4.7472 0.0000
Pm In
1 7
Direct
0.0000 0.0000 0.0000
0.0000 0.0000 0.5000
0.0000 0.5000 0.0000
0.0000 0.5000 0.5000
0.5000 0.0000 0.0000
0.5000 0.0000 0.5000
0.5000 0.5000 0.0000
0.5000 0.5000 0.5000
```

---

Entry 2:
# Pm3In4

An optimized crystal structure of Pm3In4 (PBE, Alexandria).

Summary:
ΔE_f = -0.383 eV/atom
Mass density = 7.6 g/cm³
Total magnetization = 0.05 μB/atom
Uncorrected energy = -3.98 eV/atom

Structure (POSCAR):
```
Pm3In4
1.0
-1.7386 2.2450 12.5826
1.7386 -2.2450 12.5826
1.7386 2.2450 -12.5826
Pm In
3 4
Direct
0.0000 0.0000 0.0000
0.1423 0.1423 0.0000
0.8577 0.8577 0.0000
0.2808 0.2808 0.0000
0.4314 0.4314 0.0000
0.5686 0.5686 0.0000
0.7192 0.7192 0.0000
```

---

Entry 3:
# Pm4In

An optimized crystal structure of Pm4In (PBE, Alexandria).

Summary:
ΔE_f = -0.138 eV/atom
Mass density = 7.5 g/cm³
Total magnetization = 0.00 μB/atom
Uncorrected energy = -4.49 eV/atom

Structure (POSCAR):
```
Pm4In
1.0
-2.6769 3.4594 8.3445
2.6769 -3.4594 8.3445
2.6769 3.4594 -8.3445
Pm In
8 2
Direct
0.0000 0.0000 0.0000
0.1484 0.3984 0.7500
0.2106 0.1992 0.0114
0.3122 0.8008 0.5114
0.5000 0.0000 0.5000
0.6878 0.1992 0.4886
0.7894 0.8008 0.9886
0.8516 0.6016 0.2500
0.3602 0.6102 0.7500
0.6398 0.3898 0.2500
```

---

Entry 4:
# Pm5In2

An optimized crystal structure of Pm5In2 (PBE, Alexandria).

Summary:
ΔE_f = -0.276 eV/atom
Mass density = 7.3 g/cm³
Total magnetization = 0.00 μB/atom
Uncorrected energy = -4.45 eV/atom

Structure (POSCAR):
```
Pm5In2
1.0
8.0756 -2.9378 0.0000
8.0756 2.9378 0.0000
-1.2733 0.0000 9.0952
Pm In
10 4
Direct
0.0802 0.6639 0.0457
0.1194 0.4309 0.6792
0.2180 0.7820 0.7500
0.3361 0.9198 0.4543
0.4309 0.1194 0.1792
0.5691 0.8806 0.8208
0.6639 0.0802 0.5457
0.7820 0.2180 0.2500
0.8806 0.5691 0.3208
0.9198 0.3361 0.9543
0.2249 0.6162 0.4006
0.3838 0.7751 0.0994
0.6162 0.2249 0.9006
0.7751 0.3838 0.5994
```

---

Entry 5:
# PmIn5

An optimized crystal structure of PmIn5 (PBE, Alexandria).

Summary:
ΔE_f = -0.173 eV/atom
Mass density = 7.3 g/cm³
Total magnetization = 0.00 μB/atom
Uncorrected energy = -3.25 eV/atom

Structure (POSCAR):
```
PmIn5
1.0
3.0722 -4.8660 0.0000
3.0722 4.8660 0.0000
-2.1141 0.0000 5.4384
Pm In
1 5
Direct
0.0000 0.0000 0.0000
0.1705 0.8295 0.5000
0.3397 0.6603 0.0000
0.5000 0.5000 0.5000
0.6603 0.3397 0.0000
0.8295 0.1705 0.5000
```

---

Entry 6:
# Pm4In

An optimized crystal structure of Pm4In (PBE, Alexandria).

Summary:
ΔE_f = 0.369 eV/atom
Mass density = 5.7 g/cm³
Total magnetization = 0.01 μB/atom
Uncorrected energy = -3.98 eV/atom

Structure (POSCAR):
```
Pm4In
1.0
5.8721 0.0000 0.0000
0.0000 5.8721 0.0000
0.0000 0.0000 5.8721
Pm In
4 1
Direct
0.0000 0.0000 0.0000
0.0000 0.5000 0.5000
0.5000 0.0000 0.5000
0.5000 0.5000 0.0000
0.5000 0.5000 0.5000
```

---

Entry 7:
# Pm3Pr12In

An optimized crystal structure of Pm3Pr12In (PBE, Alexandria).

Summary:
ΔE_f = -0.050 eV/atom
Mass density = 6.7 g/cm³
Total magnetization = 0.00 μB/atom
Uncorrected energy = -4.70 eV/atom

Structure (POSCAR):
```
Pm3Pr12In
1.0
5.1489 0.0000 0.0000
0.0000 5.1489 0.0000
0.0000 0.0000 20.9784
Pm Pr In
3 12 1
Direct
0.0000 0.0000 0.0000
0.0000 0.0000 0.2529
0.0000 0.0000 0.7471
0.0000 0.5000 0.1269
0.0000 0.5000 0.3804
0.0000 0.5000 0.6196
0.0000 0.5000 0.8731
0.5000 0.0000 0.1269
0.5000 0.0000 0.3804
0.5000 0.0000 0.6196
0.5000 0.0000 0.8731
0.5000 0.5000 0.0000
0.5000 0.5000 0.2543
0.5000 0.5000 0.5000
0.5000 0.5000 0.7457
0.0000 0.0000 0.5000
```

---

Entry 8:
# PmPr7In2

An optimized crystal structure of PmPr7In2 (PBE, Alexandria).

Summary:
ΔE_f = 0.299 eV/atom
Mass density = 5.4 g/cm³
Total magnetization = 0.00 μB/atom
Uncorrected energy = -4.07 eV/atom

Structure (POSCAR):
```
PmPr7In2
1.0
4.7161 -8.0172 0.0000
4.7161 8.0172 0.0000
0.0000 0.0000 5.5394
Pm Pr In
1 7 2
Direct
0.0000 0.0000 0.0000
0.0602 0.3031 0.5000
0.2250 0.7750 0.0000
0.3031 0.0602 0.5000
0.5000 0.5000 0.5000
0.6969 0.9398 0.5000
0.7750 0.2250 0.0000
0.9398 0.6969 0.5000
0.3044 0.6956 0.5000
0.6956 0.3044 0.5000
```

---

Entry 9:
# Pm2Pr2In

An optimized crystal structure of Pm2Pr2In (PBE, Alexandria).

Summary:
ΔE_f = -0.040 eV/atom
Mass density = 6.8 g/cm³
Total magnetization = 0.00 μB/atom
Uncorrected energy = -4.40 eV/atom

Structure (POSCAR):
```
Pm2Pr2In
1.0
8.4276 0.0000 0.0000
0.0000 8.4276 0.0000
0.0000 0.0000 4.7320
Pm Pr In
4 4 2
Direct
0.1488 0.3512 0.0000
0.3512 0.8512 0.0000
0.6488 0.1488 0.0000
0.8512 0.6488 0.0000
0.1563 0.6563 0.5000
0.3437 0.1563 0.5000
0.6563 0.8437 0.5000
0.8437 0.3437 0.5000
0.0000 0.0000 0.0000
0.5000 0.5000 0.0000
```

---

Entry 10:
# Pm4Pr9In11

An optimized crystal structure of Pm4Pr9In11 (PBE, Alexandria).

Summary:
ΔE_f = -0.415 eV/atom
Mass density = 7.2 g/cm³
Total magnetization = 0.00 μB/atom
Uncorrected energy = -4.25 eV/atom

Structure (POSCAR):
```
Pm4Pr9In11
1.0
9.1481 -10.8378 0.0000
9.1481 10.8378 0.0000
0.0000 0.0000 3.6020
Pm Pr In
4 9 11
Direct
0.0702 0.2386 0.0000
0.2386 0.0702 0.0000
0.7614 0.9298 0.0000
0.9298 0.7614 0.0000
0.0000 0.0000 0.0000
0.1230 0.6434 0.0000
0.2921 0.4689 0.0000
0.3566 0.8770 0.0000
0.4689 0.2921 0.0000
0.5311 0.7079 0.0000
0.6434 0.1230 0.0000
0.7079 0.5311 0.0000
0.8770 0.3566 0.0000
0.0805 0.4343 0.5000
0.1367 0.8633 0.5000
0.2656 0.2656 0.5000
0.3294 0.6706 0.5000
0.4343 0.0805 0.5000
0.5000 0.5000 0.5000
0.5657 0.9195 0.5000
0.6706 0.3294 0.5000
0.7344 0.7344 0.5000
0.8633 0.1367 0.5000
0.9195 0.5657 0.5000
```

---

Entry 11:
# Pm8Pr2In

An optimized crystal structure of Pm8Pr2In (PBE, Alexandria).

Summary:
ΔE_f = -0.064 eV/atom
Mass density = 7.0 g/cm³
Total magnetization = 0.00 μB/atom
Uncorrected energy = -4.64 eV/atom

Structure (POSCAR):
```
Pm8Pr2In
1.0
9.2379 -2.5393 0.0000
9.2379 2.5393 0.0000
-2.1421 0.0000 7.8277
Pm Pr In
8 2 1
Direct
0.0436 0.0436 0.2279
0.1350 0.1350 0.6756
0.3222 0.3222 0.5915
0.4114 0.4114 0.0593
0.5886 0.5886 0.9407
0.6778 0.6778 0.4085
0.8650 0.8650 0.3244
0.9564 0.9564 0.7721
0.2234 0.2234 0.1353
0.7766 0.7766 0.8647
0.5000 0.5000 0.5000
```

---

What did the fourth record say?
# Pm5In2

An optimized crystal structure of Pm5In2 (PBE, Alexandria).

Summary:
ΔE_f = -0.276 eV/atom
Mass density = 7.3 g/cm³
Total magnetization = 0.00 μB/atom
Uncorrected energy = -4.45 eV/atom

Structure (POSCAR):
```
Pm5In2
1.0
8.0756 -2.9378 0.0000
8.0756 2.9378 0.0000
-1.2733 0.0000 9.0952
Pm In
10 4
Direct
0.0802 0.6639 0.0457
0.1194 0.4309 0.6792
0.2180 0.7820 0.7500
0.3361 0.9198 0.4543
0.4309 0.1194 0.1792
0.5691 0.8806 0.8208
0.6639 0.0802 0.5457
0.7820 0.2180 0.2500
0.8806 0.5691 0.3208
0.9198 0.3361 0.9543
0.2249 0.6162 0.4006
0.3838 0.7751 0.0994
0.6162 0.2249 0.9006
0.7751 0.3838 0.5994
```

---

Look up the total magnetization of the fifth one. 0.00 μB/atom